(1)
Y2TmN3 | GGA-PBE | relaxed

a = 3.454 Å, b = 4.884 Å, c = 5.982 Å
α = 114.09°, β = 106.78°, γ = 90.00°
Sites, in units of the cell vectors:
N  0.336  0.336  0.673
N  0.000  0.000  0.000
N  0.664  0.664  0.327
Y  0.334  0.834  0.667
Y  0.666  0.166  0.333
Tm  0.000  0.500  0.000

Output
Magnetic moment = 0.00 μB per formula unit
Energy = -8.797 eV/atom
Symmetry = Immm
Formation energy without anion corrections = -1734 meV per atom



(2)
Y2Tm4N | GGA-PBE | relaxed

a = 4.699 Å, b = 4.699 Å, c = 9.418 Å
α = 75.55°, β = 75.55°, γ = 90.00°
Sites, in units of the cell vectors:
Tm  0.000  0.500  0.000
Tm  0.869  0.869  0.262
Tm  0.131  0.131  0.738
Tm  0.500  0.000  0.000
Y  0.671  0.671  0.658
Y  0.329  0.329  0.342
N  0.000  0.000  0.000

Output
Magnetic moment = 0.00 μB per formula unit
Energy = -5.894 eV/atom
Symmetry = I4/mmm
Formation energy without anion corrections = -302 meV per atom



(3)
Y3TmN4 | GGA-PBE | relaxed

a = 4.894 Å, b = 4.894 Å, c = 4.894 Å
α = 90.00°, β = 90.00°, γ = 90.00°
Sites, in units of the cell vectors:
Tm  0.000  0.000  0.000
Y  0.500  0.000  0.500
Y  0.500  0.500  0.000
Y  0.000  0.500  0.500
N  0.000  0.000  0.500
N  0.000  0.500  0.000
N  0.500  0.500  0.500
N  0.500  0.000  0.000

Output
Magnetic moment = 0.00 μB per formula unit
Energy relative to the lowest polymorph listed for this composition = 2 meV/atom
Energy = -8.867 eV/atom
Symmetry = Pm-3m
Formation energy without anion corrections = -1721 meV per atom



Number 2 is which compound?
Y2Tm4N



Which formula does entry 3 have?
Y3TmN4